First-principles (PBE+U) data for a geometry-optimized ZrV2FeO6 structure, as listed in Alexandria.

Summary:
**Electronic total energy**: -81.50 eV for the cell shown
**Mass density**: 4.982 g cm⁻³

Geometry as CIF:
```
data_ZrV2FeO6
_cell_length_a 5.277
_cell_length_b 5.288
_cell_length_c 5.588
_cell_angle_alpha 117.04
_cell_angle_beta 90.92
_cell_angle_gamma 119.50
_space_group_name_H-M_alt 'P 1'
_space_group_IT_number 1
_space_group_name_Hall 'P 1'
loop_
_atom_site_label
_atom_site_type_symbol
_atom_site_fract_x
_atom_site_fract_y
_atom_site_fract_z
Zr1 Zr 0.000 0.000 0.000
V1 V 0.208 0.422 0.626
V2 V 0.705 0.422 0.131
Fe1 Fe 0.495 0.000 0.503
O1 O 0.095 0.929 0.342
O2 O 0.312 0.907 0.840
O3 O 0.421 0.507 0.330
O4 O 0.597 0.529 0.845
O5 O 0.828 0.247 0.329
O6 O 0.919 0.246 0.837
```